The following is a DFT calculation (PBE-GGA) of a geometry-optimized NpCrGe2 structure.

a b c (Å): 3.044 3.044 7.484
angles (deg): 90.00 90.00 90.00
Positions (direct):
Np 0.000 0.000 0.000
Cr 0.000 0.000 0.500
Ge 0.500 0.500 0.290
Ge 0.500 0.500 0.710

Values from the calculation:
calculated volume = 69.4 Å³ per cell
total magnetization = 6.581 Bohr magnetons per cell
polymorph energy (0 for the lowest one) = 0 meV/atom
formation energy = 0.042 eV/atom